(1)
# PBEsol CrCdOs2, relaxed
data_CrCdOs2
_space_group_name_H-M_alt 'P 1'
_space_group_IT_number 1
_cell_length_a 2.730
_cell_length_b 2.730
_cell_length_c 26.913
_cell_angle_alpha 90.00
_cell_angle_beta 90.00
_cell_angle_gamma 120.00
loop_
_space_group_symop_operation_xyz
'x,y,z'
loop_
_atom_site_label
_atom_site_type_symbol
_atom_site_fract_x
_atom_site_fract_y
_atom_site_fract_z
_atom_site_occupancy
Cr1 Cr 0.000 0.000 0.000 1
Cr2 Cr 0.333 0.667 0.667 1
Cr3 Cr 0.667 0.333 0.333 1
Cd1 Cd 0.000 0.000 0.500 1
Cd2 Cd 0.333 0.667 0.167 1
Cd3 Cd 0.667 0.333 0.833 1
Os1 Os 0.000 0.000 0.260 1
Os2 Os 0.000 0.000 0.740 1
Os3 Os 0.333 0.667 0.407 1
Os4 Os 0.333 0.667 0.927 1
Os5 Os 0.667 0.333 0.073 1
Os6 Os 0.667 0.333 0.593 1
# ρ = 15.6 Mg/m³
# Energy = -8.692 eV/atom
# Energy of formation = 275 meV/atom
# Crystal system = trigonal

(2)
# PBEsol Li7MnAs4, relaxed
data_Li7MnAs4
_space_group_name_H-M_alt 'P 1'
_space_group_IT_number 1
_cell_length_a 8.329
_cell_length_b 8.329
_cell_length_c 5.963
_cell_angle_alpha 90.00
_cell_angle_beta 90.00
_cell_angle_gamma 90.00
loop_
_space_group_symop_operation_xyz
'x,y,z'
loop_
_atom_site_label
_atom_site_type_symbol
_atom_site_fract_x
_atom_site_fract_y
_atom_site_fract_z
_atom_site_occupancy
Li1 Li 0.011 0.511 0.250 1
Li2 Li 0.011 0.989 0.250 1
Li3 Li 0.250 0.250 0.204 1
Li4 Li 0.250 0.250 0.704 1
Li5 Li 0.250 0.750 0.250 1
Li6 Li 0.489 0.511 0.250 1
Li7 Li 0.489 0.989 0.250 1
Li8 Li 0.511 0.011 0.750 1
Li9 Li 0.511 0.489 0.750 1
Li10 Li 0.750 0.250 0.750 1
Li11 Li 0.750 0.750 0.296 1
Li12 Li 0.750 0.750 0.796 1
Li13 Li 0.989 0.011 0.750 1
Li14 Li 0.989 0.489 0.750 1
Mn1 Mn 0.250 0.750 0.750 1
Mn2 Mn 0.750 0.250 0.250 1
As1 As 0.017 0.750 0.537 1
As2 As 0.250 0.517 0.963 1
As3 As 0.250 0.983 0.963 1
As4 As 0.483 0.750 0.537 1
As5 As 0.517 0.250 0.463 1
As6 As 0.750 0.017 0.037 1
As7 As 0.750 0.483 0.037 1
As8 As 0.983 0.250 0.463 1
# ρ = 3.2 Mg/m³
# Energy = -4.185 eV/atom
# Energy of formation = -522 meV/atom
# Crystal system = tetragonal

(3)
# PBEsol BaSn2H2O4, relaxed
data_BaSn2H2O4
_space_group_name_H-M_alt 'P 1'
_space_group_IT_number 1
_cell_length_a 7.171
_cell_length_b 5.765
_cell_length_c 7.485
_cell_angle_alpha 90.00
_cell_angle_beta 108.31
_cell_angle_gamma 90.00
loop_
_space_group_symop_operation_xyz
'x,y,z'
loop_
_atom_site_label
_atom_site_type_symbol
_atom_site_fract_x
_atom_site_fract_y
_atom_site_fract_z
_atom_site_occupancy
Ba1 Ba 0.190 0.000 0.433 1
Ba2 Ba 0.810 0.500 0.567 1
Sn1 Sn 0.088 0.000 0.895 1
Sn2 Sn 0.354 0.500 0.854 1
Sn3 Sn 0.646 0.000 0.146 1
Sn4 Sn 0.912 0.500 0.105 1
H1 H 0.296 0.500 0.210 1
H2 H 0.361 0.501 0.508 1
H3 H 0.639 0.001 0.492 1
H4 H 0.704 0.000 0.790 1
O1 O 0.145 0.749 0.724 1
O2 O 0.146 0.251 0.724 1
O3 O 0.208 0.500 0.288 1
O4 O 0.468 0.501 0.633 1
O5 O 0.532 0.001 0.367 1
O6 O 0.792 0.000 0.712 1
O7 O 0.854 0.751 0.276 1
O8 O 0.855 0.249 0.276 1
# ρ = 5.0 Mg/m³
# Energy = -5.854 eV/atom
# Crystal system = monoclinic

(4)
# PBEsol LaAsN2, relaxed
data_LaAsN2
_space_group_name_H-M_alt 'P 1'
_space_group_IT_number 1
_cell_length_a 4.970
_cell_length_b 4.970
_cell_length_c 11.249
_cell_angle_alpha 90.00
_cell_angle_beta 90.00
_cell_angle_gamma 90.00
loop_
_space_group_symop_operation_xyz
'x,y,z'
loop_
_atom_site_label
_atom_site_type_symbol
_atom_site_fract_x
_atom_site_fract_y
_atom_site_fract_z
_atom_site_occupancy
La1 La 0.000 0.000 0.000 1
La2 La 0.000 0.500 0.250 1
La3 La 0.500 0.000 0.750 1
La4 La 0.500 0.500 0.500 1
As1 As 0.000 0.000 0.500 1
As2 As 0.000 0.500 0.750 1
As3 As 0.500 0.000 0.250 1
As4 As 0.500 0.500 0.000 1
N1 N 0.196 0.250 0.625 1
N2 N 0.250 0.696 0.875 1
N3 N 0.250 0.804 0.375 1
N4 N 0.304 0.250 0.125 1
N5 N 0.696 0.750 0.125 1
N6 N 0.750 0.196 0.375 1
N7 N 0.750 0.304 0.875 1
N8 N 0.804 0.750 0.625 1
# ρ = 5.8 Mg/m³
# Energy = -7.077 eV/atom
# Crystal system = tetragonal
# Formation energy without anion corrections = -77 kJ/mol of formula units

Result set for size of the total moment: 0.00; 2.00; 0.00; 0.00 μB/f.u., one per record in the order listed.